# CeHF

CeHF after structural relaxation (PBE-GGA, Alexandria via LeMat-Bulk).

Values from the calculation:
- Energy above the lowest structure with this stoichiometry: 0.0430 eV/atom
- Total magnetic moment: 0.422 μB per atom
- Final energy: -16.94 eV/cell

Geometry as extended XYZ:
```
3
Lattice="-1.228 2.308 -3.038 -2.763 -1.364 -2.563 -3.697 1.548 0.027" Properties=species:S:1:pos:R:3 pbc="T T T"
Ce -1.922 0.623 -1.394
F -3.844 1.246 -2.787
H 0.000 0.000 0.000
```